Entry 1:
K2CrRu at its PBEsol-relaxed geometry, computed with SCAN.

Lattice parameters (Å, degrees): 3.895 3.895 11.219 90.00 90.00 90.00
Atoms (fractional coordinates):
K  0.000  0.500  0.250
K  0.000  0.500  0.750
K  0.500  0.000  0.250
K  0.500  0.000  0.750
Cr  0.000  0.000  0.000
Cr  0.500  0.500  0.500
Ru  0.000  0.000  0.500
Ru  0.500  0.500  0.000

Values from the calculation:
Formation energy, eV/atom: 1.1724
Space group: I4/mmm
Magnetization, μB per formula unit: 3.18

=====

Entry 2:
Ho2Co12P7 at its PBEsol-relaxed geometry, computed with SCAN.

Lattice parameters (Å, degrees): 8.888 8.888 3.526 90.00 90.00 120.00
Atoms (fractional coordinates):
Ho  0.000  0.000  0.000
Ho  0.333  0.667  0.500
Co  0.042  0.273  0.500
Co  0.102  0.715  0.000
Co  0.232  0.958  0.500
Co  0.285  0.386  0.000
Co  0.432  0.202  0.000
Co  0.513  0.453  0.500
Co  0.547  0.060  0.500
Co  0.614  0.898  0.000
Co  0.727  0.768  0.500
Co  0.770  0.568  0.000
Co  0.798  0.230  0.000
Co  0.940  0.487  0.500
P  0.069  0.444  0.000
P  0.261  0.220  0.500
P  0.375  0.931  0.000
P  0.556  0.625  0.000
P  0.667  0.333  0.500
P  0.780  0.041  0.500
P  0.959  0.739  0.500

Values from the calculation:
Formation energy, eV/atom: -0.7499
Space group: P-6
Magnetization, μB per formula unit: 5.84

=====

Entry 3:
Zr3AlCo8 at its PBEsol-relaxed geometry, computed with SCAN.

Lattice parameters (Å, degrees): 8.242 8.242 8.242 33.50 33.50 33.50
Atoms (fractional coordinates):
Zr  0.000  0.000  0.000
Zr  0.127  0.127  0.127
Zr  0.618  0.618  0.618
Al  0.495  0.495  0.495
Co  0.059  0.059  0.562
Co  0.059  0.562  0.059
Co  0.065  0.560  0.560
Co  0.311  0.311  0.311
Co  0.560  0.065  0.560
Co  0.560  0.560  0.065
Co  0.562  0.059  0.059
Co  0.811  0.811  0.811

Values from the calculation:
Formation energy, eV/atom: -0.2768
Space group: R3m
Magnetization, μB per formula unit: 8.01

=====

Entry 4:
Ti3NbSe at its PBEsol-relaxed geometry, computed with SCAN.

Lattice parameters (Å, degrees): 4.740 4.740 4.740 90.00 90.00 90.00
Atoms (fractional coordinates):
Ti  0.000  0.000  0.500
Ti  0.000  0.500  0.000
Ti  0.500  0.000  0.000
Nb  0.000  0.000  0.000
Se  0.500  0.500  0.500

Values from the calculation:
Total DFT energy (no corrections), eV/atom: -19.36
Space group: Pm-3m
Magnetization, μB per formula unit: 3.22

=====

Entry 5:
BaBeSe2 at its PBEsol-relaxed geometry, computed with SCAN.

Lattice parameters (Å, degrees): 4.202 3.526 6.959 90.00 93.31 90.00
Atoms (fractional coordinates):
Ba  0.000  0.000  0.000
Be  0.500  0.000  0.500
Se  0.473  0.500  0.725
Se  0.527  0.500  0.275

Values from the calculation:
Total DFT energy (no corrections), eV/atom: -22.17
Space group: P2/m
Magnetization, μB per formula unit: 0.00

=====

Entry 6:
LaAlTe4 at its PBEsol-relaxed geometry, computed with SCAN.

Lattice parameters (Å, degrees): 6.271 6.271 6.271 60.00 60.00 60.00
Atoms (fractional coordinates):
La  0.000  0.000  0.000
Al  0.250  0.250  0.250
Te  0.125  0.625  0.625
Te  0.625  0.125  0.625
Te  0.625  0.625  0.125
Te  0.625  0.625  0.625

Values from the calculation:
Total DFT energy (no corrections), eV/atom: -33.31
Space group: F-43m
Magnetization, μB per formula unit: 0.00

=====

Entry 7:
LiPtW2 at its PBEsol-relaxed geometry, computed with SCAN.

Lattice parameters (Å, degrees): 2.663 3.928 5.584 90.00 90.00 90.00
Atoms (fractional coordinates):
Li  0.000  0.000  0.000
Pt  0.500  0.500  0.212
W  0.000  0.000  0.485
W  0.500  0.500  0.743

Values from the calculation:
Formation energy, eV/atom: 0.0265
Space group: Pmm2
Magnetization, μB per formula unit: 0.00

=====

Entry 8:
YMgCd at its PBEsol-relaxed geometry, computed with SCAN.

Lattice parameters (Å, degrees): 4.956 4.956 3.405 90.00 90.00 120.00
Atoms (fractional coordinates):
Y  0.000  0.000  0.000
Mg  0.667  0.333  0.500
Cd  0.333  0.667  0.500

Values from the calculation:
Formation energy, eV/atom: -0.3215
Space group: P-6m2
Magnetization, μB per formula unit: 0.28